No. 1
# Nd2SmAg2Ge2 (PBE, optimized geometry)
data_Nd2SmAg2Ge2
_cell_length_a 4.590
_cell_length_b 4.590
_cell_length_c 9.846
_cell_angle_alpha 76.52
_cell_angle_beta 76.52
_cell_angle_gamma 60.00
_space_group_name_H-M_alt 'P 1'
_space_group_IT_number 1
loop_
_space_group_symop_operation_xyz
'x,y,z'
loop_
_atom_site_label
_atom_site_type_symbol
_atom_site_fract_x
_atom_site_fract_y
_atom_site_fract_z
Nd1 Nd 0.126 0.126 0.621
Nd2 Nd 0.874 0.874 0.379
Sm1 Sm 0.000 0.000 0.000
Ag1 Ag 0.604 0.604 0.188
Ag2 Ag 0.396 0.396 0.812
Ge1 Ge 0.737 0.737 0.789
Ge2 Ge 0.263 0.263 0.211
# Magnetization = 0.00 μB per cell
# Space group = R-3m (166)
# Density = 7.68 g/cm3
# Uncorrected energy = -32.19 eV for the cell shown

---

No. 2
# ReWSCl2 (PBE, optimized geometry)
data_ReWSCl2
_cell_length_a 4.955
_cell_length_b 4.955
_cell_length_c 4.644
_cell_angle_alpha 90.00
_cell_angle_beta 90.00
_cell_angle_gamma 90.00
_space_group_name_H-M_alt 'P 1'
_space_group_IT_number 1
loop_
_space_group_symop_operation_xyz
'x,y,z'
loop_
_atom_site_label
_atom_site_type_symbol
_atom_site_fract_x
_atom_site_fract_y
_atom_site_fract_z
Re1 Re 0.500 0.500 0.500
S1 S 0.000 0.000 0.500
W1 W 0.000 0.000 0.000
Cl1 Cl 0.000 0.500 0.000
Cl2 Cl 0.500 0.000 0.000
# Energy relative to the lowest polymorph listed for this composition = 0 meV/atom
# Magnetization = 6.68 μB per cell
# Space group = P4/mmm (123)
# Formation energy (no corrections) = 1180.8 meV per atom
# Density = 6.89 g/cm3
# Uncorrected energy = -27.32 eV for the cell shown

---

No. 3
# La2V2Au (PBE, optimized geometry)
data_La2V2Au
_cell_length_a 8.717
_cell_length_b 8.717
_cell_length_c 3.555
_cell_angle_alpha 90.00
_cell_angle_beta 90.00
_cell_angle_gamma 90.00
_space_group_name_H-M_alt 'P 1'
_space_group_IT_number 1
loop_
_space_group_symop_operation_xyz
'x,y,z'
loop_
_atom_site_label
_atom_site_type_symbol
_atom_site_fract_x
_atom_site_fract_y
_atom_site_fract_z
La1 La 0.297 0.797 0.000
La2 La 0.797 0.703 0.000
La3 La 0.703 0.203 0.000
La4 La 0.203 0.297 0.000
Au1 Au 0.000 0.000 0.000
Au2 Au 0.500 0.500 0.000
V1 V 0.078 0.578 0.500
V2 V 0.578 0.922 0.500
V3 V 0.922 0.422 0.500
V4 V 0.422 0.078 0.500
# Energy relative to the lowest polymorph listed for this composition = 360 meV/atom
# Magnetization = 2.89 μB per cell
# Space group = P4/mbm (127)
# Density = 7.09 g/cm3
# Uncorrected energy = -57.98 eV for the cell shown

---

No. 4
# Mg2HgP (PBE, optimized geometry)
data_Mg2HgP
_cell_length_a 4.899
_cell_length_b 4.899
_cell_length_c 4.899
_cell_angle_alpha 60.00
_cell_angle_beta 60.00
_cell_angle_gamma 60.00
_space_group_name_H-M_alt 'P 1'
_space_group_IT_number 1
loop_
_space_group_symop_operation_xyz
'x,y,z'
loop_
_atom_site_label
_atom_site_type_symbol
_atom_site_fract_x
_atom_site_fract_y
_atom_site_fract_z
Hg1 Hg 0.500 0.500 0.500
Mg1 Mg 0.000 0.000 0.000
Mg2 Mg 0.750 0.750 0.750
P1 P 0.250 0.250 0.250
# Magnetization = 0.00 μB per cell
# Space group = F-43m (216)
# Density = 5.60 g/cm3
# Uncorrected energy = -8.33 eV for the cell shown

---

No. 5
# KLiMn2 (PBE, optimized geometry)
data_KLiMn2
_cell_length_a 5.138
_cell_length_b 5.138
_cell_length_c 5.138
_cell_angle_alpha 60.00
_cell_angle_beta 60.00
_cell_angle_gamma 60.00
_space_group_name_H-M_alt 'P 1'
_space_group_IT_number 1
loop_
_space_group_symop_operation_xyz
'x,y,z'
loop_
_atom_site_label
_atom_site_type_symbol
_atom_site_fract_x
_atom_site_fract_y
_atom_site_fract_z
K1 K 0.500 0.500 0.500
Li1 Li 0.750 0.750 0.750
Mn1 Mn 0.000 0.000 0.000
Mn2 Mn 0.250 0.250 0.250
# Energy relative to the lowest polymorph listed for this composition = 313 meV/atom
# Magnetization = 8.22 μB per cell
# Space group = F-43m (216)
# Density = 2.70 g/cm3
# Uncorrected energy = -17.45 eV for the cell shown

---

No. 6
# OsPt2Pb (PBE, optimized geometry)
data_OsPt2Pb
_cell_length_a 4.885
_cell_length_b 4.885
_cell_length_c 4.885
_cell_angle_alpha 128.92
_cell_angle_beta 128.92
_cell_angle_gamma 75.14
_space_group_name_H-M_alt 'P 1'
_space_group_IT_number 1
loop_
_space_group_symop_operation_xyz
'x,y,z'
loop_
_atom_site_label
_atom_site_type_symbol
_atom_site_fract_x
_atom_site_fract_y
_atom_site_fract_z
Os1 Os 0.500 0.500 0.000
Pb1 Pb 0.750 0.250 0.500
Pt1 Pt 0.000 0.000 0.000
Pt2 Pt 0.250 0.750 0.500
# Magnetization = 0.00 μB per cell
# Space group = I-4m2 (119)
# Density = 19.03 g/cm3
# Uncorrected energy = -25.10 eV for the cell shown

---

- Which value of density does entry 3 give?
  7.09 g/cm3

---

- Which formula does entry 3 have?
  La2V2Au